Record 1
## Th2Si3SnIr4 (PBE-GGA)

Data for a relaxed Th2Si3SnIr4 crystal.

abc: 4.205 4.205 10.454
angles: 90.00 90.00 90.00
Positions (direct):
Th (0.500, 0.000, 0.242)
Th (0.000, 0.500, 0.758)
Si (0.000, 0.000, 0.500)
Si (0.500, 0.000, 0.875)
Si (0.000, 0.500, 0.125)
Sn (0.500, 0.500, 0.500)
Ir (0.500, 0.500, 0.000)
Ir (0.000, 0.000, 0.000)
Ir (0.500, 0.000, 0.648)
Ir (0.000, 0.500, 0.352)

Properties
The value obtained for the total energy is -7.991 eV/atom. The calculation puts the total moment at 0.00 μB/f.u. The space-group type is P-4m2, No. 115.

---

Record 2
## LaGeSeF2 (PBE-GGA)

Data for a relaxed LaGeSeF2 crystal.

abc: 4.325 5.715 4.325
angles: 90.00 90.00 90.00
Positions (direct):
Ge (0.000, 0.000, 0.000)
F (0.000, 0.000, 0.500)
F (0.500, 0.000, 0.000)
Se (0.000, 0.500, 0.000)
La (0.500, 0.500, 0.500)

Properties
The value obtained for the total energy is -5.143 eV/atom. The calculation puts the total moment at 0.00 μB/f.u. The space-group type is P4/mmm, No. 123.

---

Record 3
## RuC (PBE-GGA)

Data for a relaxed RuC crystal.

abc: 4.335 4.335 4.335
angles: 90.00 90.00 90.00
Positions (direct):
Ru (0.470, 0.970, 0.530)
Ru (0.030, 0.030, 0.030)
Ru (0.530, 0.470, 0.970)
Ru (0.970, 0.530, 0.470)
C (0.007, 0.507, 0.993)
C (0.493, 0.493, 0.493)
C (0.993, 0.007, 0.507)
C (0.507, 0.993, 0.007)

Properties
The calculation puts the total moment at 0.00 μB/f.u. The space-group type is P2_13, No. 198. The distance to the lowest polymorph of the same formula is 0.5059 eV/atom. Its formation energy is 0.871 eV/atom.

---

Record 4
## CsCo2CuCl6 (PBE-GGA)

Data for a relaxed CsCo2CuCl6 crystal.

abc: 9.478 9.478 7.185
angles: 102.07 102.07 101.85
Positions (direct):
Cs (0.176, 0.824, 0.250)
Cs (0.824, 0.176, 0.750)
Co (0.341, 0.185, 0.873)
Co (0.815, 0.659, 0.627)
Co (0.659, 0.815, 0.127)
Co (0.185, 0.341, 0.373)
Cu (0.705, 0.295, 0.250)
Cu (0.295, 0.705, 0.750)
Cl (0.955, 0.366, 0.241)
Cl (0.634, 0.045, 0.259)
Cl (0.045, 0.634, 0.759)
Cl (0.366, 0.955, 0.741)
Cl (0.237, 0.172, 0.135)
Cl (0.828, 0.763, 0.365)
Cl (0.763, 0.828, 0.865)
Cl (0.172, 0.237, 0.635)
Cl (0.337, 0.572, 0.471)
Cl (0.428, 0.663, 0.029)
Cl (0.663, 0.428, 0.529)
Cl (0.572, 0.337, 0.971)

Properties
The value obtained for the total energy is -3.857 eV/atom. The calculation puts the total moment at 6.01 μB/f.u. The space-group type is C2/c, No. 15.

---

Repeat the fourth record exactly.
## CsCo2CuCl6 (PBE-GGA)

Data for a relaxed CsCo2CuCl6 crystal.

abc: 9.478 9.478 7.185
angles: 102.07 102.07 101.85
Positions (direct):
Cs (0.176, 0.824, 0.250)
Cs (0.824, 0.176, 0.750)
Co (0.341, 0.185, 0.873)
Co (0.815, 0.659, 0.627)
Co (0.659, 0.815, 0.127)
Co (0.185, 0.341, 0.373)
Cu (0.705, 0.295, 0.250)
Cu (0.295, 0.705, 0.750)
Cl (0.955, 0.366, 0.241)
Cl (0.634, 0.045, 0.259)
Cl (0.045, 0.634, 0.759)
Cl (0.366, 0.955, 0.741)
Cl (0.237, 0.172, 0.135)
Cl (0.828, 0.763, 0.365)
Cl (0.763, 0.828, 0.865)
Cl (0.172, 0.237, 0.635)
Cl (0.337, 0.572, 0.471)
Cl (0.428, 0.663, 0.029)
Cl (0.663, 0.428, 0.529)
Cl (0.572, 0.337, 0.971)

Properties
The value obtained for the total energy is -3.857 eV/atom. The calculation puts the total moment at 6.01 μB/f.u. The space-group type is C2/c, No. 15.